[1]
First-principles (PBE-GGA) data for crystalline AlSe at its relaxed geometry, as listed in Alexandria via LeMat-Bulk.

Results
Uncorrected formation energy, eV per atom: -0.48
V, A^3/atom: 21.005

POSCAR file:
```
AlSe
1.0
7.542 0.000 0.000
-3.771 6.532 0.000
0.000 0.000 5.116
Se Al
6 6
direct
0.724 0.641 0.250
0.641 0.917 0.750
0.917 0.276 0.250
0.276 0.359 0.750
0.359 0.083 0.250
0.083 0.724 0.750
0.690 0.561 0.750
0.129 0.690 0.250
0.310 0.439 0.250
0.871 0.310 0.750
0.439 0.129 0.750
0.561 0.871 0.250
```

***

[2]
First-principles (PBE-GGA) data for crystalline HfPaMo at its relaxed geometry, as listed in Alexandria via LeMat-Bulk.

Results
Relative energy among the computed polymorphs, meV per atom: 11.8
E_form, eV/atom: 0.014
V, A^3/atom: 20.647

POSCAR file:
```
HfPaMo
1.0
-1.462 5.131 -2.090
-4.897 -0.189 2.691
3.930 -0.016 2.811
Hf Pa Mo
2 2 2
direct
0.503 0.182 0.843
0.497 0.818 0.157
0.025 0.664 0.345
0.975 0.336 0.655
0.000 0.000 0.000
0.500 0.500 0.500
```

***

[3]
First-principles (PBE-GGA) data for crystalline Cr2CuSi4 at its relaxed geometry, as listed in Alexandria via LeMat-Bulk.

Results
Uncorrected formation energy, eV per atom: 0.69
V, A^3/atom: 17.074

POSCAR file:
```
Cr2CuSi4
1.0
-1.412 4.193 0.774
-4.076 -1.567 1.051
-1.094 0.822 6.582
Cr Cu Si
2 1 4
direct
0.607 0.607 0.785
0.393 0.393 0.215
0.000 0.000 0.000
0.807 0.807 0.385
0.000 0.500 0.000
0.193 0.193 0.615
0.500 0.000 0.000
```

***

[4]
First-principles (PBE-GGA) data for crystalline BeCd2Pd8 at its relaxed geometry, as listed in Alexandria via LeMat-Bulk.

Results
E_form, eV/atom: -0.238
V, A^3/atom: 15.815

POSCAR file:
```
BeCd2Pd8
1.0
4.589 0.000 0.000
0.000 5.752 -0.170
-2.294 -2.663 6.669
Pd Be Cd
8 1 2
direct
0.377 0.617 0.754
0.624 0.865 0.248
0.000 0.749 0.000
0.623 0.383 0.246
0.376 0.135 0.752
0.000 0.251 0.000
0.179 0.179 0.358
0.821 0.821 0.642
0.500 0.000 0.000
0.192 0.691 0.384
0.808 0.309 0.616
```

***

[5]
First-principles (PBE-GGA) data for crystalline PaFe2Mo at its relaxed geometry, as listed in Alexandria via LeMat-Bulk.

Results
Relative energy among the computed polymorphs, meV per atom: 0.0
E_form, eV/atom: 0.058
V, A^3/atom: 15.327

POSCAR file:
```
PaFe2Mo
1.0
-0.737 -1.428 -2.492
2.700 -1.221 -0.098
-2.303 -5.395 3.770
Pa Fe Mo
1 2 1
direct
0.500 0.500 0.500
0.000 0.000 0.795
0.000 0.000 0.205
0.500 0.500 0.000
```

***

[6]
First-principles (PBE-GGA) data for crystalline K2FeAsP at its relaxed geometry, as listed in Alexandria via LeMat-Bulk.

Results
E_form, eV/atom: 0.628
V, A^3/atom: 37.540

POSCAR file:
```
K2FeAsP
1.0
-5.481 2.001 2.412
1.272 -1.619 4.234
2.629 5.581 1.344
As K P Fe
1 2 1 1
direct
0.000 0.500 0.000
0.000 0.000 0.500
0.500 0.000 0.000
0.000 0.000 0.000
0.500 0.500 0.500
```

***

[7]
First-principles (PBE-GGA) data for crystalline TlCl3 at its relaxed geometry, as listed in Alexandria via LeMat-Bulk.

Results
Uncorrected formation energy, eV per atom: -0.25
V, A^3/atom: 42.372

POSCAR file:
```
TlCl3
1.0
-6.017 6.573 -2.753
5.553 -3.213 -6.769
-2.880 -3.025 -0.927
Cl Tl
6 2
direct
0.550 0.860 0.250
0.022 0.978 0.250
0.140 0.450 0.250
0.860 0.550 0.750
0.978 0.022 0.750
0.450 0.140 0.750
0.426 0.574 0.250
0.574 0.426 0.750
```

***

[8]
First-principles (PBE-GGA) data for crystalline Sm7Dy12Cd at its relaxed geometry, as listed in Alexandria via LeMat-Bulk.

Results
E_form, eV/atom: 0.191
V, A^3/atom: 33.272

POSCAR file:
```
Sm7Dy12Cd
1.0
0.097 -5.542 6.746
6.090 -4.857 -3.944
6.328 4.627 3.844
Dy Sm Cd
12 7 1
direct
0.891 0.006 0.332
0.109 0.994 0.668
0.332 0.891 0.006
0.123 0.340 0.464
0.877 0.660 0.536
0.668 0.109 0.994
0.464 0.123 0.340
0.006 0.332 0.891
0.536 0.877 0.660
0.660 0.536 0.877
0.340 0.464 0.123
0.994 0.668 0.109
0.622 0.765 0.215
0.235 0.785 0.378
0.378 0.235 0.785
0.215 0.622 0.765
0.500 0.500 0.500
0.785 0.378 0.235
0.765 0.215 0.622
0.000 0.000 0.000
```

***

[9]
First-principles (PBE-GGA) data for crystalline CoTePb2 at its relaxed geometry, as listed in Alexandria via LeMat-Bulk.

Results
Uncorrected formation energy, eV per atom: 0.49
Relative energy among the computed polymorphs, meV per atom: 405.9
V, A^3/atom: 26.324

POSCAR file:
```
CoTePb2
1.0
5.297 -0.019 0.000
-1.223 5.154 0.000
0.000 0.000 3.861
Pb Te Co
2 1 1
direct
0.500 0.500 0.000
0.000 0.000 0.000
0.500 0.000 0.500
0.000 0.500 0.500
```

***

[10]
First-principles (PBE-GGA) data for crystalline Si3Te at its relaxed geometry, as listed in Alexandria via LeMat-Bulk.

Results
Uncorrected formation energy, eV per atom: 0.72
Relative energy among the computed polymorphs, meV per atom: 441.7
V, A^3/atom: 18.508

POSCAR file:
```
Si3Te
1.0
4.713 0.000 0.000
2.357 4.082 0.000
2.357 1.361 3.848
Si Te
3 1
direct
0.000 0.000 0.000
0.250 0.250 0.250
0.500 0.500 0.500
0.750 0.750 0.750
```

***

[11]
First-principles (PBE-GGA) data for crystalline LiTmZrTc at its relaxed geometry, as listed in Alexandria via LeMat-Bulk.

Results
E_form, eV/atom: -0.129
V, A^3/atom: 19.100

POSCAR file:
```
LiTmZrTc
1.0
4.763 0.000 0.000
2.381 4.125 0.000
2.381 1.375 3.889
Tc Li Zr Tm
1 1 1 1
direct
0.500 0.500 0.500
0.000 0.000 0.000
0.750 0.750 0.750
0.250 0.250 0.250
```

***

[12]
First-principles (PBE-GGA) data for crystalline Th2TlTeO8 at its relaxed geometry, as listed in Alexandria via LeMat-Bulk.

Results
Uncorrected formation energy, eV per atom: -2.24
V, A^3/atom: 16.016

POSCAR file:
```
Th2TlTeO8
1.0
-0.232 4.267 2.726
-3.468 -2.193 2.975
5.438 -2.553 4.460
O Th Tl Te
8 2 1 1
direct
0.282 0.281 0.000
0.185 0.814 0.191
0.815 0.186 0.809
0.815 0.186 0.191
0.679 0.679 0.500
0.185 0.814 0.809
0.718 0.719 0.000
0.321 0.321 0.500
0.500 0.500 0.246
0.500 0.500 0.754
0.000 0.000 0.500
0.000 0.000 0.000
```